1.
First-principles (GGA-PBE) data for a relaxed structure of BiTePd2Rh, as listed in Alexandria via LeMat-Bulk.

```
BiTePd2Rh
1.0
5.0457 0.0000 0.0000
0.0000 5.0457 0.0000
0.0000 0.0000 5.0223
Bi Te Pd Rh
1 1 2 1
Cartesian
0.0000 0.0000 0.0000
2.5228 2.5228 2.5112
0.0000 2.5228 0.0000
2.5228 0.0000 0.0000
0.0000 0.0000 2.5112
```

ΔE to the lowest computed polymorph ... 0.2234 eV/atom
E_tot ... -4.234 eV per atom
Total magnetic moment ... 0.00 μB per formula unit
Space-group type ... P4/mmm (123)
Uncorrected formation energy ... 0.718 eV/atom
N(E_F) ... 2.41 states/eV per cell

2.
First-principles (GGA-PBE) data for a relaxed structure of TlBiPdRh, as listed in Alexandria via LeMat-Bulk.

```
TlBiPdRh
1.0
0.0000 3.4106 3.4106
3.4106 0.0000 3.4106
3.4106 3.4106 0.0000
Tl Bi Pd Rh
1 1 1 1
Cartesian
0.0000 0.0000 0.0000
3.4106 3.4106 3.4106
5.1160 5.1160 5.1160
1.7053 1.7053 1.7053
```

E_tot ... -4.698 eV per atom
Total magnetic moment ... 0.00 μB per formula unit
Space-group type ... F-43m (216)
N(E_F) ... 1.36 states/eV per cell
Formation energy ... 0.0 kJ/mol of atoms

3.
First-principles (GGA-PBE) data for a relaxed structure of TmBiPdRh, as listed in Alexandria via LeMat-Bulk.

```
TmBiPdRh
1.0
0.0000 3.4125 3.4125
3.4125 0.0000 3.4125
3.4125 3.4125 0.0000
Tm Bi Pd Rh
1 1 1 1
Cartesian
0.0000 0.0000 0.0000
3.4125 3.4125 3.4125
5.1187 5.1187 5.1187
1.7062 1.7062 1.7062
```

E_tot ... -5.863 eV per atom
Total magnetic moment ... 0.00 μB per formula unit
Space-group type ... F-43m (216)
N(E_F) ... 3.23 states/eV per cell
Formation energy ... -61.7 kJ/mol of atoms

4.
First-principles (GGA-PBE) data for a relaxed structure of UBiPdRh, as listed in Alexandria via LeMat-Bulk.

```
UBiPdRh
1.0
0.0000 3.4462 3.4462
3.4462 0.0000 3.4462
3.4462 3.4462 0.0000
U Bi Pd Rh
1 1 1 1
Cartesian
0.0000 0.0000 0.0000
3.4462 3.4462 3.4462
5.1694 5.1694 5.1694
1.7231 1.7231 1.7231
```

E_tot ... -7.179 eV per atom
Total magnetic moment ... 2.00 μB per formula unit
Space-group type ... F-43m (216)
N(E_F) ... 6.55 states/eV per cell
Formation energy ... -24.2 kJ/mol of atoms

5.
First-principles (GGA-PBE) data for a relaxed structure of ZrBiPdRh, as listed in Alexandria via LeMat-Bulk.

```
ZrBiPdRh
1.0
0.0000 3.3665 3.3665
3.3665 0.0000 3.3665
3.3665 3.3665 0.0000
Zr Bi Pd Rh
1 1 1 1
Cartesian
0.0000 0.0000 0.0000
3.3665 3.3665 3.3665
1.6832 1.6832 1.6832
5.0497 5.0497 5.0497
```

E_tot ... -6.701 eV per atom
Total magnetic moment ... 0.00 μB per formula unit
Space-group type ... F-43m (216)
N(E_F) ... 1.65 states/eV per cell
Formation energy ... -44.2 kJ/mol of atoms

6.
First-principles (GGA-PBE) data for a relaxed structure of BiPd2Ru, as listed in Alexandria via LeMat-Bulk.

```
BiPd2Ru
1.0
-1.9510 1.9510 9.7758
1.9510 -1.9510 9.7758
1.9510 1.9510 -9.7758
Bi Pd Ru
2 4 2
Cartesian
0.0000 0.0000 0.0000
0.0000 1.9510 4.8879
0.9755 -0.9252 7.3318
1.0258 0.9755 2.4439
0.9755 2.8762 -2.4439
0.9252 0.9755 12.2197
1.9510 0.0000 4.8879
0.0000 0.0000 9.7758
```

E_tot ... -5.533 eV per atom
Total magnetic moment ... 0.00 μB per formula unit
Space-group type ... I-42d (122)
N(E_F) ... 6.73 states/eV per cell
Formation energy ... 34.0 kJ/mol of atoms